1.
{"formula": "LiCr2Si", "functional": "PBE", "state": "optimized geometry", "total_magnetization_mub_per_fu": 0.757, "raw_formation_energy_mev_per_atom": 24, "space_group": "P4mm (99)", "lattice": [[-0.4277, -1.7679, -2.3399], [2.6938, -1.1716, 0.3928], [-2.1855, -3.9023, 3.3479]], "species": ["Cr", "Cr", "Li", "Si"], "frac_coords": [[0.0000, 0.0000, 0.0134], [0.5000, 0.5000, 0.2260], [0.0000, 0.0000, 0.5082], [0.5000, 0.5000, 0.7524]]}

2.
{"formula": "LiCr2Si", "functional": "PBE", "state": "optimized geometry", "total_magnetization_mub_per_fu": 0.617, "raw_formation_energy_mev_per_atom": 201, "space_group": "P4mm (99)", "lattice": [[-2.0282, 0.6688, 1.2288], [-1.2195, -1.9057, -0.9757], [2.3063, -4.7477, 6.3906]], "species": ["Cr", "Cr", "Li", "Si"], "frac_coords": [[0.0000, 0.0000, 0.9876], [0.5000, 0.5000, 0.2326], [0.0000, 0.0000, 0.5149], [0.5000, 0.5000, 0.7649]]}

3.
{"formula": "LiCrSi", "functional": "PBE", "state": "optimized geometry", "total_magnetization_mub_per_fu": 1.259, "raw_formation_energy_mev_per_atom": 16, "space_group": "P3m1 (156)", "lattice": [[4.0128, 0.0000, 0.0000], [-2.0064, 3.4752, 0.0000], [0.0000, 0.0000, 2.5507]], "species": ["Cr", "Li", "Si"], "frac_coords": [[0.0000, 0.0000, 0.9996], [0.6667, 0.3333, 0.4872], [0.3333, 0.6667, 0.5132]]}

4.
{"formula": "LiCrSi2", "functional": "PBE", "state": "optimized geometry", "total_magnetization_mub_per_fu": 3.181, "raw_formation_energy_mev_per_atom": 287, "space_group": "F-43m (216)", "de_polymorph_ev_per_fu": 1.67, "lattice": [[-2.6451, 2.4953, 2.2020], [-0.9103, -0.9177, 4.0498], [1.5042, 2.4570, 3.1261]], "species": ["Cr", "Li", "Si", "Si"], "frac_coords": [[0.5000, 0.5000, 0.5000], [0.7500, 0.7500, 0.7500], [0.0000, 0.0000, 0.0000], [0.2500, 0.2500, 0.2500]]}

5.
{"formula": "LiCrSi2", "functional": "PBE", "state": "optimized geometry", "total_magnetization_mub_per_fu": 0.908, "raw_formation_energy_mev_per_atom": -11, "space_group": "P4mm (99)", "de_polymorph_ev_per_fu": 0.48, "lattice": [[3.2183, 0.0000, 0.0000], [0.0000, 3.2183, 0.0000], [0.0000, 0.0000, 4.9129]], "species": ["Cr", "Li", "Si", "Si"], "frac_coords": [[0.0000, 0.0000, 0.4785], [0.5000, 0.5000, 0.7570], [0.0000, 0.0000, 0.9895], [0.5000, 0.5000, 0.2750]]}

6.
{"formula": "Li2CrSiW", "functional": "PBE", "state": "optimized geometry", "total_magnetization_mub_per_fu": 0.055, "raw_formation_energy_mev_per_atom": 1831, "space_group": "P4/mmm (123)", "lattice": [[4.5315, 0.0000, 0.0000], [0.0000, 4.6309, 0.0000], [0.0000, 0.0000, 4.5315]], "species": ["Cr", "Si", "W", "Li", "Li"], "frac_coords": [[0.5000, 0.5000, 0.5000], [0.0000, 0.5000, 0.0000], [0.0000, 0.0000, 0.0000], [0.0000, 0.0000, 0.5000], [0.5000, 0.0000, 0.0000]]}

7.
{"formula": "LiSmTmCr", "functional": "PBE", "state": "optimized geometry", "delta_e_f_ev_per_atom": 0.18, "total_magnetization_mub_per_fu": 3.108, "space_group": "F-43m (216)", "lattice": [[5.0950, 0.0000, 0.0000], [2.5475, 4.4124, 0.0000], [2.5475, 1.4708, 4.1601]], "species": ["Cr", "Tm", "Sm", "Li"], "frac_coords": [[0.5000, 0.5000, 0.5000], [0.7500, 0.7500, 0.7500], [0.2500, 0.2500, 0.2500], [0.0000, 0.0000, 0.0000]]}

8.
{"formula": "LiSmYCr", "functional": "PBE", "state": "optimized geometry", "delta_e_f_ev_per_atom": 0.19, "total_magnetization_mub_per_fu": 3.110, "space_group": "F-43m (216)", "lattice": [[-2.2206, 4.5693, 0.8127], [-2.8025, 0.7798, 4.2436], [1.7628, 3.0925, 3.7147]], "species": ["Y", "Cr", "Sm", "Li"], "frac_coords": [[0.0000, 0.0000, 0.0000], [0.2500, 0.2500, 0.2500], [0.5000, 0.5000, 0.5000], [0.7500, 0.7500, 0.7500]]}

Q: Number 7 is which compound?
A: LiSmTmCr